# 1
{
  "formula": "PmNd2Dy4Y2",
  "functional": "PBE-GGA",
  "state": "optimized geometry",
  "cell": [[-1.0608, 2.2318, -2.6507], [2.3409, -7.8057, -5.0317], [-8.9253, 0.0355, 3.6018]],
  "species": ["Pm", "Nd", "Nd", "Dy", "Dy", "Dy", "Dy", "Y", "Y"],
  "fractional_positions": [[0.0000, 0.0000, 0.0000], [0.3336, 0.6672, 0.9991], [0.6664, 0.3328, 0.0009], [0.8143, 0.6287, 0.6635], [0.1857, 0.3713, 0.3365], [0.5192, 0.0383, 0.3354], [0.4808, 0.9617, 0.6646], [0.8531, 0.7062, 0.3370], [0.1469, 0.2938, 0.6630]],
  "crystal_system": "monoclinic",
  "dft_energy_ev_per_atom": -5.073
}

=====

# 2
{
  "formula": "Pm2Nd4Dy2Y",
  "functional": "PBE-GGA",
  "state": "optimized geometry",
  "cell": [[5.1458, 0.0000, 0.0000], [-2.5729, 7.7197, 0.0233], [0.0000, -2.6036, 7.6734]],
  "species": ["Pm", "Pm", "Nd", "Nd", "Nd", "Nd", "Dy", "Dy", "Y"],
  "fractional_positions": [[0.8883, 0.7767, 0.3310], [0.1117, 0.2233, 0.6690], [0.7777, 0.5554, 0.6689], [0.2223, 0.4446, 0.3311], [0.5550, 0.1100, 0.3318], [0.4450, 0.8900, 0.6682], [0.3329, 0.6657, 0.0002], [0.6671, 0.3343, 0.9998], [0.0000, 0.0000, 0.0000]],
  "crystal_system": "monoclinic",
  "dft_energy_ev_per_atom": -4.898
}

=====

# 3
{
  "formula": "Pm2Nd2Dy4Y",
  "functional": "PBE-GGA",
  "state": "optimized geometry",
  "cell": [[-2.4986, 1.6467, -2.0625], [-4.2637, -8.4508, 1.6204], [-1.2949, 6.6594, 6.8856]],
  "species": ["Pm", "Pm", "Nd", "Nd", "Dy", "Dy", "Dy", "Dy", "Y"],
  "fractional_positions": [[0.8529, 0.7058, 0.3367], [0.1471, 0.2942, 0.6633], [0.3344, 0.6688, 0.9993], [0.6656, 0.3312, 0.0007], [0.8150, 0.6299, 0.6646], [0.1850, 0.3701, 0.3354], [0.5194, 0.0388, 0.3329], [0.4806, 0.9612, 0.6671], [0.0000, 0.0000, 0.0000]],
  "crystal_system": "monoclinic",
  "dft_energy_ev_per_atom": -4.875
}

=====

# 4
{
  "formula": "Pm4Nd2Dy2Y",
  "functional": "PBE-GGA",
  "state": "optimized geometry",
  "cell": [[-2.9598, 0.3685, -4.1804], [3.8788, -7.1328, -0.2208], [-6.5967, -0.9473, 4.5871]],
  "species": ["Pm", "Pm", "Pm", "Pm", "Nd", "Nd", "Dy", "Dy", "Y"],
  "fractional_positions": [[0.7781, 0.5562, 0.6689], [0.2219, 0.4438, 0.3311], [0.5555, 0.1110, 0.3317], [0.4445, 0.8890, 0.6683], [0.8882, 0.7765, 0.3315], [0.1118, 0.2235, 0.6685], [0.3330, 0.6661, 0.9999], [0.6670, 0.3339, 0.0001], [0.0000, 0.0000, 0.0000]],
  "crystal_system": "monoclinic",
  "dft_energy_ev_per_atom": -4.894
}

=====

# 5
{
  "formula": "PmNdDy2Y2",
  "functional": "PBE-GGA",
  "state": "optimized geometry",
  "cell": [[-2.4207, -2.3976, -0.3092], [3.5648, -2.9932, -4.6975], [8.1783, -9.8683, 12.4943]],
  "species": ["Pm", "Pm", "Nd", "Nd", "Dy", "Dy", "Dy", "Dy", "Y", "Y", "Y", "Y"],
  "fractional_positions": [[0.0000, 0.0000, 0.0000], [0.5000, 0.5000, 0.5000], [0.5000, 0.5000, 0.0000], [0.0000, 0.0000, 0.5000], [0.5000, 0.7725, 0.3512], [0.5000, 0.2275, 0.6488], [0.0000, 0.7275, 0.8512], [0.0000, 0.2725, 0.1488], [0.5000, 0.2715, 0.3151], [0.0000, 0.7715, 0.1849], [0.5000, 0.7285, 0.6849], [0.0000, 0.2285, 0.8151]],
  "crystal_system": "orthorhombic",
  "dft_energy_ev_per_atom": -5.009
}

=====

# 6
{
  "formula": "Pm3NdDyY",
  "functional": "PBE-GGA",
  "state": "optimized geometry",
  "cell": [[5.1154, 0.0000, 0.0000], [-2.5577, 7.6926, 0.0000], [0.0000, 0.0000, 10.2706]],
  "species": ["Pm", "Pm", "Pm", "Pm", "Pm", "Pm", "Nd", "Nd", "Dy", "Dy", "Y", "Y"],
  "fractional_positions": [[0.6658, 0.3315, 0.5003], [0.3342, 0.6685, 0.4997], [0.3342, 0.6685, 0.0003], [0.6658, 0.3315, 0.9997], [0.1666, 0.3331, 0.7500], [0.8334, 0.6669, 0.2500], [0.4995, 0.9990, 0.7500], [0.5005, 0.0010, 0.2500], [0.0000, 0.0000, 0.5000], [0.0000, 0.0000, 0.0000], [0.8332, 0.6663, 0.7500], [0.1668, 0.3337, 0.2500]],
  "crystal_system": "orthorhombic",
  "dft_energy_ev_per_atom": -4.999
}

=====

# 7
{
  "formula": "Pm4NdDy2Y2",
  "functional": "PBE-GGA",
  "state": "optimized geometry",
  "cell": [[-4.2621, 2.7312, 0.6237], [0.2950, -2.5524, -7.6616], [-3.1800, -5.9699, 4.4115]],
  "species": ["Pm", "Pm", "Pm", "Pm", "Nd", "Dy", "Dy", "Y", "Y"],
  "fractional_positions": [[0.7774, 0.5548, 0.6679], [0.2226, 0.4452, 0.3321], [0.5551, 0.1103, 0.3319], [0.4449, 0.8897, 0.6681], [0.0000, 0.0000, 0.0000], [0.3322, 0.6643, 0.0002], [0.6678, 0.3357, 0.9998], [0.8885, 0.7769, 0.3326], [0.1115, 0.2231, 0.6674]],
  "crystal_system": "monoclinic",
  "dft_energy_ev_per_atom": -5.084
}

=====

# 8
{
  "formula": "Pm6Nd2DyY3",
  "functional": "PBE-GGA",
  "state": "optimized geometry",
  "cell": [[6.2911, -0.0007, 0.0047], [-3.1446, 5.4488, 0.0047], [-1.0556, -1.8278, 11.8031]],
  "species": ["Pm", "Pm", "Pm", "Pm", "Pm", "Pm", "Nd", "Nd", "Dy", "Y", "Y", "Y"],
  "fractional_positions": [[0.9160, 0.5837, 0.7482], [0.7516, 0.7516, 0.2520], [0.0840, 0.4163, 0.2518], [0.5837, 0.9160, 0.7482], [0.2484, 0.2484, 0.7480], [0.4163, 0.0840, 0.2518], [0.3333, 0.6667, 0.0000], [0.6667, 0.3333, 0.0000], [0.0000, 0.0000, 0.0000], [0.1664, 0.8336, 0.5000], [0.8336, 0.1664, 0.5000], [0.5000, 0.5000, 0.5000]],
  "crystal_system": "monoclinic",
  "dft_energy_ev_per_atom": -5.157
}

=====

# 9
{
  "formula": "PmNd2Dy6Y",
  "functional": "PBE-GGA",
  "state": "optimized geometry",
  "cell": [[-8.7758, 1.6918, 3.9191], [3.1701, -4.1442, 7.1164], [1.9474, 8.5367, -1.0954]],
  "species": ["Pm", "Pm", "Nd", "Nd", "Nd", "Nd", "Dy", "Dy", "Dy", "Dy", "Dy", "Dy", "Dy", "Dy", "Dy", "Dy", "Dy", "Dy", "Y", "Y"],
  "fractional_positions": [[0.2500, 0.4060, 0.5940], [0.7500, 0.5940, 0.4060], [0.4585, 0.8103, 0.7036], [0.0415, 0.2964, 0.1897], [0.5415, 0.1897, 0.2964], [0.9585, 0.7036, 0.8103], [0.0568, 0.1254, 0.7444], [0.4432, 0.2556, 0.8746], [0.9432, 0.8746, 0.2556], [0.5568, 0.7444, 0.1254], [0.3136, 0.9732, 0.4221], [0.1864, 0.5779, 0.0268], [0.6864, 0.0268, 0.5779], [0.8136, 0.4221, 0.9732], [0.1202, 0.7089, 0.5000], [0.3798, 0.5000, 0.2911], [0.8798, 0.2911, 0.5000], [0.6202, 0.5000, 0.7089], [0.2500, 0.9821, 0.0179], [0.7500, 0.0179, 0.9821]],
  "crystal_system": "monoclinic",
  "dft_energy_ev_per_atom": -4.718
}

=====

# 10
{
  "formula": "PmNd3Dy6Y2",
  "functional": "PBE-GGA",
  "state": "optimized geometry",
  "cell": [[-4.3970, 1.6471, -4.0885], [-0.8375, -4.9891, 3.6291], [-3.2866, 7.8644, 8.2783]],
  "species": ["Pm", "Nd", "Nd", "Nd", "Dy", "Dy", "Dy", "Dy", "Dy", "Dy", "Y", "Y"],
  "fractional_positions": [[0.0000, 0.0000, 0.0000], [0.1668, 0.8332, 0.5000], [0.8332, 0.1668, 0.5000], [0.5000, 0.5000, 0.5000], [0.9169, 0.5838, 0.7519], [0.7499, 0.7499, 0.2481], [0.0831, 0.4162, 0.2481], [0.5838, 0.9169, 0.7519], [0.2501, 0.2501, 0.7519], [0.4162, 0.0831, 0.2481], [0.3332, 0.6668, 0.0000], [0.6668, 0.3332, 0.0000]],
  "crystal_system": "monoclinic",
  "dft_energy_ev_per_atom": -4.950
}

=====

# 11
{
  "formula": "PmNd6Dy2Y",
  "functional": "PBE-GGA",
  "state": "optimized geometry",
  "cell": [[9.2716, -2.0902, -2.1691], [0.8363, 8.7081, -2.0510], [0.8363, -2.3723, 8.6261]],
  "species": ["Pm", "Pm", "Nd", "Nd", "Nd", "Nd", "Nd", "Nd", "Nd", "Nd", "Nd", "Nd", "Nd", "Nd", "Dy", "Dy", "Dy", "Dy", "Y", "Y"],
  "fractional_positions": [[0.2500, 0.9731, 0.0269], [0.7500, 0.0269, 0.9731], [0.0546, 0.1159, 0.7579], [0.4454, 0.2421, 0.8841], [0.9454, 0.8841, 0.2421], [0.5546, 0.7579, 0.1159], [0.3150, 0.9874, 0.4358], [0.1850, 0.5642, 0.0126], [0.6850, 0.0126, 0.5642], [0.8150, 0.4358, 0.9874], [0.1194, 0.7068, 0.4901], [0.3806, 0.5099, 0.2932], [0.8806, 0.2932, 0.5099], [0.6194, 0.4901, 0.7068], [0.4543, 0.7993, 0.7010], [0.0457, 0.2990, 0.2007], [0.5457, 0.2007, 0.2990], [0.9543, 0.7010, 0.7993], [0.2500, 0.4097, 0.5903], [0.7500, 0.5903, 0.4097]],
  "crystal_system": "monoclinic",
  "dft_energy_ev_per_atom": -4.791
}

=====

# 12
{
  "formula": "Pm2NdDy5Y",
  "functional": "PBE-GGA",
  "state": "optimized geometry",
  "cell": [[-5.2502, 4.7986, 5.1163], [0.9291, -5.8587, 6.4482], [8.2982, 4.4200, -3.1323]],
  "species": ["Pm", "Pm", "Pm", "Pm", "Nd", "Nd", "Dy", "Dy", "Dy", "Dy", "Dy", "Dy", "Dy", "Dy", "Dy", "Dy", "Y", "Y"],
  "fractional_positions": [[0.1163, 0.3837, 0.0000], [0.6163, 0.1163, 0.0000], [0.3837, 0.8837, 0.0000], [0.8837, 0.6163, 0.0000], [0.2500, 0.2500, 0.5000], [0.7500, 0.7500, 0.5000], [0.9268, 0.4268, 0.2738], [0.6530, 0.1530, 0.7262], [0.0732, 0.5732, 0.7262], [0.1530, 0.0732, 0.7262], [0.5732, 0.6530, 0.7262], [0.8470, 0.9268, 0.2738], [0.4268, 0.3470, 0.2738], [0.3470, 0.8470, 0.2738], [0.5000, 0.5000, 0.0000], [0.0000, 0.0000, 0.0000], [0.2500, 0.7500, 0.5000], [0.7500, 0.2500, 0.5000]],
  "crystal_system": "tetragonal",
  "dft_energy_ev_per_atom": -4.595
}

=====

# 13
{
  "formula": "Pm2Nd2DyY4",
  "functional": "PBE-GGA",
  "state": "optimized geometry",
  "cell": [[-1.6520, 0.8376, -3.1355], [7.5261, -5.0715, -3.2053], [-7.6957, -5.2577, 2.6501]],
  "species": ["Pm", "Pm", "Nd", "Nd", "Dy", "Y", "Y", "Y", "Y"],
  "fractional_positions": [[0.8523, 0.7046, 0.3359], [0.1477, 0.2954, 0.6641], [0.3348, 0.6697, 0.0002], [0.6652, 0.3303, 0.9998], [0.0000, 0.0000, 0.0000], [0.8151, 0.6303, 0.6654], [0.1849, 0.3697, 0.3346], [0.5192, 0.0384, 0.3324], [0.4808, 0.9616, 0.6676]],
  "crystal_system": "monoclinic",
  "dft_energy_ev_per_atom": -5.499
}

=====

# 14
{
  "formula": "Pm2Nd5DyY",
  "functional": "PBE-GGA",
  "state": "optimized geometry",
  "cell": [[-6.5107, -4.9546, -2.9301], [5.4913, -6.6727, -0.9187], [-1.1387, 3.3882, 9.6886]],
  "species": ["Pm", "Pm", "Pm", "Pm", "Nd", "Nd", "Nd", "Nd", "Nd", "Nd", "Nd", "Nd", "Nd", "Nd", "Dy", "Dy", "Y", "Y"],
  "fractional_positions": [[0.1205, 0.3795, 0.0000], [0.6205, 0.1205, 0.0000], [0.3795, 0.8795, 0.0000], [0.8795, 0.6205, 0.0000], [0.9262, 0.4262, 0.2843], [0.6418, 0.1418, 0.7157], [0.0738, 0.5738, 0.7157], [0.1418, 0.0738, 0.7157], [0.5738, 0.6418, 0.7157], [0.8582, 0.9262, 0.2843], [0.4262, 0.3582, 0.2843], [0.3582, 0.8582, 0.2843], [0.5000, 0.5000, 0.0000], [0.0000, 0.0000, 0.0000], [0.2500, 0.2500, 0.5000], [0.7500, 0.7500, 0.5000], [0.2500, 0.7500, 0.5000], [0.7500, 0.2500, 0.5000]],
  "crystal_system": "tetragonal",
  "dft_energy_ev_per_atom": -4.658
}

=====

# 15
{
  "formula": "Pm5NdDy2Y",
  "functional": "PBE-GGA",
  "state": "optimized geometry",
  "cell": [[5.6765, 0.0000, 0.0000], [-2.8383, 10.2175, 0.0000], [0.0000, 0.0000, 10.7126]],
  "species": ["Pm", "Pm", "Pm", "Pm", "Pm", "Pm", "Pm", "Pm", "Pm", "Pm", "Nd", "Nd", "Dy", "Dy", "Dy", "Dy", "Y", "Y"],
  "fractional_positions": [[0.3920, 0.7840, 0.0254], [0.7200, 0.4400, 0.8088], [0.4791, 0.9583, 0.7417], [0.2977, 0.5955, 0.7052], [0.9839, 0.9678, 0.5223], [0.6080, 0.2160, 0.5254], [0.2800, 0.5600, 0.3088], [0.5209, 0.0417, 0.2417], [0.7023, 0.4045, 0.2052], [0.0161, 0.0322, 0.0223], [0.7982, 0.5965, 0.5102], [0.2018, 0.4035, 0.0102], [0.8842, 0.7684, 0.8178], [0.1112, 0.2223, 0.7361], [0.1158, 0.2316, 0.3178], [0.8888, 0.7777, 0.2361], [0.5898, 0.1796, 0.9563], [0.4102, 0.8204, 0.4563]],
  "crystal_system": "orthorhombic",
  "dft_energy_ev_per_atom": -4.761
}

=====

# 16
{
  "formula": "Pm2Nd2DyY2",
  "functional": "PBE-GGA",
  "state": "optimized geometry",
  "cell": [[5.7625, 0.0000, 0.0000], [2.8812, 4.9904, 0.0000], [2.8812, 1.6635, 8.2398]],
  "species": ["Pm", "Pm", "Nd", "Nd", "Dy", "Y", "Y"],
  "fractional_positions": [[0.7161, 0.7161, 0.8518], [0.2839, 0.2839, 0.1482], [0.1392, 0.1392, 0.5824], [0.8608, 0.8608, 0.4176], [0.0000, 0.0000, 0.0000], [0.5721, 0.5721, 0.2836], [0.4279, 0.4279, 0.7164]],
  "crystal_system": "trigonal",
  "dft_energy_ev_per_atom": -5.099
}

=====

# 17
{
  "formula": "PmNdDy6Y2",
  "functional": "PBE-GGA",
  "state": "optimized geometry",
  "cell": [[8.6854, -1.6031, -1.6637], [1.1071, 8.7210, -2.0201], [1.1071, -2.3420, 8.6401]],
  "species": ["Pm", "Pm", "Nd", "Nd", "Dy", "Dy", "Dy", "Dy", "Dy", "Dy", "Dy", "Dy", "Dy", "Dy", "Dy", "Dy", "Y", "Y", "Y", "Y"],
  "fractional_positions": [[0.2500, 0.4307, 0.5693], [0.7500, 0.5693, 0.4307], [0.2500, 0.9413, 0.0587], [0.7500, 0.0587, 0.9413], [0.0703, 0.0826, 0.7758], [0.4297, 0.2242, 0.9174], [0.9297, 0.9174, 0.2242], [0.5703, 0.7758, 0.0826], [0.3182, 0.0237, 0.4702], [0.1818, 0.5298, 0.9763], [0.6818, 0.9763, 0.5298], [0.8182, 0.4702, 0.0237], [0.0886, 0.7213, 0.4374], [0.4114, 0.5626, 0.2787], [0.9114, 0.2787, 0.5626], [0.5886, 0.4374, 0.7213], [0.4360, 0.7985, 0.6970], [0.0640, 0.3030, 0.2015], [0.5640, 0.2015, 0.3030], [0.9360, 0.6970, 0.7985]],
  "crystal_system": "monoclinic",
  "dft_energy_ev_per_atom": -4.883
}

=====

# 18
{
  "formula": "Pm5NdDyY2",
  "functional": "PBE-GGA",
  "state": "optimized geometry",
  "cell": [[5.7186, 0.0000, 0.0000], [-2.8593, 10.1635, 0.0000], [0.0000, 0.0000, 10.6534]],
  "species": ["Pm", "Pm", "Pm", "Pm", "Pm", "Pm", "Pm", "Pm", "Pm", "Pm", "Nd", "Nd", "Dy", "Dy", "Y", "Y", "Y", "Y"],
  "fractional_positions": [[0.3890, 0.7781, 0.0237], [0.7188, 0.4377, 0.8124], [0.4793, 0.9585, 0.7410], [0.2972, 0.5943, 0.7060], [0.9818, 0.9637, 0.5221], [0.6110, 0.2219, 0.5237], [0.2812, 0.5623, 0.3124], [0.5207, 0.0415, 0.2410], [0.7028, 0.4057, 0.2060], [0.0182, 0.0363, 0.0221], [0.5870, 0.1740, 0.9542], [0.4130, 0.8260, 0.4542], [0.7995, 0.5990, 0.5107], [0.2005, 0.4010, 0.0107], [0.8838, 0.7675, 0.8206], [0.1128, 0.2255, 0.7332], [0.1162, 0.2325, 0.3206], [0.8872, 0.7745, 0.2332]],
  "crystal_system": "orthorhombic",
  "dft_energy_ev_per_atom": -4.973
}

=====

# 19
{
  "formula": "Pr4NdDy6",
  "functional": "PBE-GGA",
  "state": "optimized geometry",
  "cell": [[7.8109, 0.0000, 0.0000], [0.0000, 7.8109, 0.0000], [-3.9055, -3.9055, 6.5357]],
  "species": ["Pr", "Pr", "Pr", "Pr", "Nd", "Dy", "Dy", "Dy", "Dy", "Dy", "Dy"],
  "fractional_positions": [[0.0994, 0.7491, 0.8484], [0.9006, 0.9006, 0.1516], [0.7491, 0.0994, 0.8484], [0.2509, 0.2509, 0.1516], [0.5000, 0.5000, 0.0000], [0.9340, 0.4360, 0.3700], [0.4360, 0.9340, 0.3700], [0.5640, 0.5640, 0.6300], [0.0000, 0.5000, 0.0000], [0.0660, 0.0660, 0.6300], [0.5000, 0.0000, 0.0000]],
  "crystal_system": "tetragonal",
  "relative_energy_mev_per_atom": 140.5
}

=====

# 20
{
  "formula": "PrNdDy2",
  "functional": "PBE-GGA",
  "state": "optimized geometry",
  "cell": [[7.3620, -3.3542, -4.7500], [-5.4717, 7.5132, -0.9702], [-2.1425, 0.5924, 9.0767]],
  "species": ["Pr", "Pr", "Nd", "Nd", "Dy", "Dy", "Dy", "Dy"],
  "fractional_positions": [[0.7500, 0.5850, 0.4150], [0.2500, 0.4150, 0.5850], [0.7500, 0.0854, 0.9146], [0.2500, 0.9146, 0.0854], [0.7493, 0.9165, 0.5832], [0.7507, 0.4168, 0.0835], [0.2507, 0.0835, 0.4168], [0.2493, 0.5832, 0.9165]],
  "crystal_system": "monoclinic",
  "relative_energy_mev_per_atom": 13.5
}

=====

no.,M_tot (μB/f.u.)
1,0.00
2,0.00
3,0.00
4,0.00
5,0.00
6,0.00
7,0.00
8,0.00
9,0.00
10,0.00
11,0.00
12,0.00
13,0.00
14,0.00
15,0.00
16,0.00
17,0.00
18,0.00
19,0.00
20,0.00